Ba4Y2Cu5PdO14: PBEsol geometry, SCAN.

POSCAR file:
```
Ba4Y2Cu5PdO14
1.0
0.000 3.879 11.612
3.797 0.000 11.612
3.797 3.879 0.000
Ba Y Cu Pd O
4 2 5 1 14
Direct
0.092 0.092 0.408 Ba
0.408 0.408 0.092 Ba
0.592 0.592 0.908 Ba
0.908 0.908 0.592 Ba
0.250 0.250 0.250 Y
0.750 0.750 0.750 Y
0.000 0.000 0.000 Cu
0.176 0.176 0.824 Cu
0.322 0.322 0.678 Cu
0.678 0.678 0.322 Cu
0.824 0.824 0.176 Cu
0.500 0.500 0.500 Pd
0.060 0.561 0.940 O
0.061 0.561 0.439 O
0.081 0.081 0.919 O
0.241 0.759 0.241 O
0.415 0.415 0.585 O
0.439 0.939 0.061 O
0.439 0.940 0.561 O
0.561 0.060 0.439 O
0.561 0.061 0.939 O
0.585 0.585 0.415 O
0.759 0.241 0.759 O
0.919 0.919 0.081 O
0.939 0.439 0.561 O
0.940 0.439 0.060 O
```

Calculated values
For the formation energy (no corrections), the calculation gives -2060 meV/atom. As for the symmetry: Fmmm (69). Its crystal system is orthorhombic. The value obtained for the density of states at the Fermi level is 6.71 states/eV/cell.

***

SiTc2Ir: PBEsol geometry, SCAN.

POSCAR file:
```
SiTc2Ir
1.0
2.825 0.000 0.000
0.000 2.825 0.000
0.000 0.000 6.693
Si Tc Ir
1 2 1
Direct
0.000 0.000 0.000 Si
0.000 0.000 0.485 Tc
0.500 0.500 0.226 Tc
0.500 0.500 0.779 Ir
```

Calculated values
For the formation energy (no corrections), the calculation gives -394 meV/atom. As for the symmetry: P4mm (99). Its crystal system is tetragonal. The value obtained for the density of states at the Fermi level is 2.29 states/eV/cell.

***

Os2Ru2Pb: PBEsol geometry, SCAN.

POSCAR file:
```
Os2Ru2Pb
1.0
-1.945 1.945 5.669
1.945 -1.945 5.669
1.945 1.945 -5.669
Os Ru Pb
2 2 1
Direct
0.108 0.108 0.000 Os
0.892 0.892 0.000 Os
0.250 0.750 0.500 Ru
0.750 0.250 0.500 Ru
0.500 0.500 0.000 Pb
```

Calculated values
The formation enthalpy at 0 K is 0.69 eV/atom. As for the symmetry: I4/mmm (139). Its crystal system is tetragonal. The value obtained for the density of states at the Fermi level is 3.70 states/eV/cell.

***

LaAlPb: PBEsol geometry, SCAN.

POSCAR file:
```
LaAlPb
1.0
0.000 3.503 3.503
3.503 0.000 3.503
3.503 3.503 0.000
La Al Pb
1 1 1
Direct
0.000 0.000 0.000 La
0.250 0.250 0.250 Al
0.500 0.500 0.500 Pb
```

Calculated values
The formation enthalpy at 0 K is -0.30 eV/atom. As for the symmetry: F-43m (216). Its crystal system is cubic. The value obtained for the density of states at the Fermi level is 2.13 states/eV/cell.

***

Na2ZrCoP4O14: PBEsol geometry, SCAN.

POSCAR file:
```
Na2ZrCoP4O14
1.0
6.526 0.000 0.000
0.937 6.467 0.000
2.840 0.149 6.320
Na Zr Co P O
2 1 1 4 14
Direct
0.000 0.000 0.000 Na
0.393 0.301 0.701 Na
0.611 0.533 0.079 Zr
0.787 0.845 0.631 Co
0.045 0.571 0.225 P
0.332 0.808 0.531 P
0.458 0.050 0.117 P
0.902 0.317 0.630 P
0.056 0.402 0.398 O
0.059 0.241 0.735 O
0.086 0.791 0.675 O
0.293 0.573 0.069 O
0.294 0.124 0.022 O
0.324 0.989 0.359 O
0.449 0.611 0.395 O
0.470 0.870 0.642 O
0.603 0.218 0.121 O
0.628 0.856 0.010 O
0.738 0.514 0.743 O
0.764 0.161 0.603 O
0.911 0.496 0.112 O
0.937 0.780 0.322 O
```

Calculated values
For the formation energy (no corrections), the calculation gives -2566 meV/atom. As for the symmetry: P1 (1). Its crystal system is triclinic. The value obtained for the density of states at the Fermi level is 0.00 states/eV/cell.

***

Li2Mn3SbO8: PBEsol geometry, SCAN.

POSCAR file:
```
Li2Mn3SbO8
1.0
5.885 0.000 0.000
-0.017 5.953 0.000
-2.939 -2.800 4.398
Li Mn Sb O
2 3 1 8
Direct
0.000 0.000 0.000 Li
0.500 0.000 0.000 Li
0.000 0.000 0.500 Mn
0.000 0.500 0.000 Mn
0.500 0.500 0.000 Mn
0.500 0.000 0.500 Sb
0.222 0.197 0.460 O
0.231 0.249 0.935 O
0.248 0.791 0.516 O
0.282 0.741 0.039 O
0.718 0.259 0.961 O
0.752 0.209 0.484 O
0.769 0.751 0.065 O
0.778 0.803 0.540 O
```

Calculated values
For the formation energy (no corrections), the calculation gives -1982 meV/atom. As for the symmetry: P-1 (2). Its crystal system is triclinic. The value obtained for the density of states at the Fermi level is 3.40 states/eV/cell.

***

Cd2Sn2Pb: PBEsol geometry, SCAN.

POSCAR file:
```
Cd2Sn2Pb
1.0
8.732 0.000 0.000
0.000 8.732 0.000
0.000 0.000 3.360
Cd Sn Pb
4 4 2
Direct
0.132 0.368 0.000 Cd
0.368 0.868 0.000 Cd
0.632 0.132 0.000 Cd
0.868 0.632 0.000 Cd
0.165 0.665 0.500 Sn
0.335 0.165 0.500 Sn
0.665 0.835 0.500 Sn
0.835 0.335 0.500 Sn
0.000 0.000 0.500 Pb
0.500 0.500 0.500 Pb
```

Calculated values
The formation enthalpy at 0 K is 0.12 eV/atom. As for the symmetry: P4/mbm (127). Its crystal system is tetragonal. The value obtained for the density of states at the Fermi level is 4.14 states/eV/cell.

***

InMo2Ir2: PBEsol geometry, SCAN.

POSCAR file:
```
InMo2Ir2
1.0
-1.937 1.937 5.835
1.937 -1.937 5.835
1.937 1.937 -5.835
In Mo Ir
1 2 2
Direct
0.000 0.000 0.000 In
0.250 0.750 0.500 Mo
0.750 0.250 0.500 Mo
0.395 0.395 0.000 Ir
0.605 0.605 0.000 Ir
```

Calculated values
The formation enthalpy at 0 K is 0.10 eV/atom. As for the symmetry: I4/mmm (139). Its crystal system is tetragonal. The value obtained for the density of states at the Fermi level is 3.03 states/eV/cell.